Record 1
Here is a relaxed Tl2TcMo crystal from Alexandria via LeMat-Bulk. Energies are from GGA-PBE.

Structure (CIF):
```
data_Tl2TcMo
_chemical_formula_sum 'Tl8 Tc4 Mo4'
_symmetry_space_group_name_H-M 'I -4 2 d'
_symmetry_Int_Tables_number 122
_symmetry_space_group_name_Hall 'I -4 2bw'
_cell_length_a 7.6952
_cell_length_b 7.6952
_cell_length_c 5.7210
_cell_angle_alpha 90.00
_cell_angle_beta 90.00
_cell_angle_gamma 90.00
loop_
_atom_site_label
_atom_site_type_symbol
_atom_site_fract_x
_atom_site_fract_y
_atom_site_fract_z
_atom_site_occupancy
Tl1 Tl 0.2449 0.2500 0.1250 1
Tc1 Tc 0.0000 0.0000 0.0000 1
Mo1 Mo 0.0000 0.0000 0.5000 1
```

Properties
* energy relative to the elements: 28.9 kcal/mol of atoms
* energy above the most stable polymorph in this dataset: 3.565 eV per formula unit



Record 2
Here is a relaxed Pm2Dy7Y4 crystal from Alexandria via LeMat-Bulk. Energies are from GGA-PBE.

Structure (CIF):
```
data_Pm2Dy7Y4
_chemical_formula_sum 'Pm2 Dy7 Y4'
_symmetry_space_group_name_H-M 'P -3 1 m'
_symmetry_Int_Tables_number 162
_symmetry_space_group_name_Hall '-P 3 2'
_cell_length_a 6.0923
_cell_length_b 6.0923
_cell_length_c 13.3022
_cell_angle_alpha 90.00
_cell_angle_beta 90.00
_cell_angle_gamma 120.00
loop_
_atom_site_label
_atom_site_type_symbol
_atom_site_fract_x
_atom_site_fract_y
_atom_site_fract_z
_atom_site_occupancy
Pm1 Pm 0.3333 0.6667 0.0000 1
Dy1 Dy 0.0000 0.0000 0.0000 1
Dy2 Dy 0.0000 0.3569 0.7834 1
Y1 Y 0.0000 0.0000 0.3942 1
Y2 Y 0.3333 0.6667 0.5000 1
```

Properties
* energy relative to the elements: 4.0 kcal/mol of atoms



Record 3
Here is a relaxed CdPd2PtI crystal from Alexandria via LeMat-Bulk. Energies are from GGA-PBE.

Structure (CIF):
```
data_CdPd2PtI
_chemical_formula_sum 'Cd1 Pd2 Pt1 I1'
_symmetry_space_group_name_H-M 'P 4/m m m'
_symmetry_Int_Tables_number 123
_symmetry_space_group_name_Hall '-P 4 2'
_cell_length_a 5.1004
_cell_length_b 5.1004
_cell_length_c 5.0952
_cell_angle_alpha 90.00
_cell_angle_beta 90.00
_cell_angle_gamma 90.00
loop_
_atom_site_label
_atom_site_type_symbol
_atom_site_fract_x
_atom_site_fract_y
_atom_site_fract_z
_atom_site_occupancy
Cd1 Cd 0.0000 0.0000 0.0000 1
Pd1 Pd 0.0000 0.5000 0.5000 1
Pt1 Pt 0.5000 0.5000 0.5000 1
I1 I 0.5000 0.5000 0.0000 1
```

Properties
* uncorrected formation energy: 3.3 eV per formula unit



Record 4
Here is a relaxed SmGdDy2 crystal from Alexandria via LeMat-Bulk. Energies are from GGA-PBE.

Structure (CIF):
```
data_SmGdDy2
_chemical_formula_sum 'Sm1 Gd1 Dy2'
_symmetry_space_group_name_H-M 'P 4/m m m'
_symmetry_Int_Tables_number 123
_symmetry_space_group_name_Hall '-P 4 2'
_cell_length_a 5.0590
_cell_length_b 5.0590
_cell_length_c 5.0336
_cell_angle_alpha 90.00
_cell_angle_beta 90.00
_cell_angle_gamma 90.00
loop_
_atom_site_label
_atom_site_type_symbol
_atom_site_fract_x
_atom_site_fract_y
_atom_site_fract_z
_atom_site_occupancy
Sm1 Sm 0.0000 0.0000 0.0000 1
Gd1 Gd 0.5000 0.5000 0.0000 1
Dy1 Dy 0.0000 0.5000 0.5000 1
```

Properties
* energy relative to the elements: 0.4 kcal/mol of atoms
* energy above the most stable polymorph in this dataset: 0.000 eV per formula unit



| no. | total DFT energy (no corrections) (eV for the cell shown) |
| --- | --- |
| 1 | -83.6 |
| 2 | -65.3 |
| 3 | -15.6 |
| 4 | -27.9 |